# Pr2Al4Ir3Rh

A geometry-optimized Pr2Al4Ir3Rh structure (PBE, the Alexandria database).

Cell: 4.2963 4.2963 10.2292 Å, 90.00 90.00 90.00°
Last column: nearest neighbours and their distance in Å.
Space group P-4m2 (No. 115)
Asymmetric unit:
Pr 0.0000 0.5000 0.2412  2 Rh 3.27, 6 Ir 3.27-3.30, 8 Al 3.28-3.41
Al 0.0000 0.0000 0.5000  4 Ir 2.54
Al 0.0000 0.5000 0.8800  3 Ir 2.47-2.53, 2 Rh 2.47
Al 0.5000 0.5000 0.5000  4 Ir 2.54
Ir 0.0000 0.0000 0.0000  4 Al 2.47
Ir 0.0000 0.5000 0.6331  5 Al 2.53-2.54
Rh 0.5000 0.5000 0.0000  4 Al 2.47

energy	-6.73	eV per atom
magnetization	0.00	μB per formula unit
ΔH_f (0 K)	-0.88	eV per atom
calculated volume	188.8	Å³/cell